Entry 1:
Here is a geometry-optimized CuP2Au structure from Alexandria. Energies are from PBE.

a b c (Å): 3.6173 3.5459 5.0905
angles (deg): 90.00 93.75 90.00
Last column: nearest neighbours and their distance in Å.
Atoms (fractional coordinates):
Cu  0.0000  0.0000  0.0000  6 P 2.53-2.55
P  0.0000  0.0000  0.5000  4 Au 2.53, 2 Cu 2.55
P  0.5000  0.5000  0.0000  4 Cu 2.53, 2 Au 2.55
Au  0.5000  0.5000  0.5000  6 P 2.53-2.55

Results
**Crystal system**: monoclinic

Entry 2:
Here is a geometry-optimized CuPAu2 structure from Alexandria. Energies are from PBE.

a b c (Å): 9.1152 9.1152 9.1152
angles (deg): 154.62 154.62 36.20
Last column: nearest neighbours and their distance in Å.
Atoms (fractional coordinates):
Cu  0.0000  0.0000  0.0000  4 Au 2.60, 4 P 2.83
Cu  0.7500  0.2500  0.5000  4 Au 2.60, 4 P 2.83
P  0.2500  0.7500  0.5000  4 Au 2.57, 4 Cu 2.83
P  0.5000  0.5000  0.0000  4 Au 2.57, 4 Cu 2.83
Au  0.1334  0.6250  0.0084  2 P 2.57, 2 Cu 2.60, 4 Au 2.78-2.88
Au  0.3750  0.3834  0.5084  2 P 2.57, 2 Cu 2.60, 4 Au 2.78-2.88
Au  0.6166  0.1250  0.9916  2 P 2.57, 2 Cu 2.60, 4 Au 2.78-2.88
Au  0.8750  0.8666  0.4916  2 P 2.57, 2 Cu 2.60, 4 Au 2.78-2.88

Results
**Crystal system**: tetragonal

Formation energy from the elements values (in meV per atom) by entry order: 291; 246.